A relaxed structure of SiW2. Source: Alexandria via LeMat-Bulk, functional GGA-PBEsol.

Lattice parameters (Å, degrees): 4.4301 4.4301 5.1361 90.00 90.00 120.00
Last column: nearest neighbours and their distance in Å.
Fractional positions:
Si: 0.6667 0.3333 0.7500  11 W 2.56-2.86
Si: 0.3333 0.6667 0.2500  11 W 2.56-2.86
W: 0.0000 0.0000 0.0000  8 W 2.57-2.86, 6 Si 2.86
W: 0.0000 0.0000 0.5000  8 W 2.57-2.86, 6 Si 2.86
W: 0.6667 0.3333 0.2500  5 Si 2.56-2.57, 6 W 2.86
W: 0.3333 0.6667 0.7500  5 Si 2.56-2.57, 6 W 2.86

Computed properties:
- Uncorrected formation energy: 0.6 eV per formula unit
- Excess energy over the best structure of this formula in the dataset: 376 meV per atom

---

A relaxed structure of P2AuCl. Source: Alexandria via LeMat-Bulk, functional GGA-PBEsol.

Lattice parameters (Å, degrees): 3.4228 3.4228 6.8392 90.00 90.00 90.00
Last column: nearest neighbours and their distance in Å.
Fractional positions:
Au: 0.5000 0.5000 0.5000  4 Cl 2.42
Cl: 0.0000 0.0000 0.5000  4 Au 2.42
P: 0.0000 0.5000 0.0000  4 P 2.42
P: 0.5000 0.0000 0.0000  4 P 2.42

Computed properties:
- Uncorrected formation energy: 2.0 eV per formula unit
- Excess energy over the best structure of this formula in the dataset: 182 meV per atom

---

A relaxed structure of ScTi3H. Source: Alexandria via LeMat-Bulk, functional GGA-PBEsol.

Lattice parameters (Å, degrees): 4.1760 4.1760 4.1760 90.00 90.00 90.00
Last column: nearest neighbours and their distance in Å.
Fractional positions:
Sc: 0.5000 0.5000 0.5000  12 Ti 2.95
H: 0.0000 0.0000 0.0000  6 Ti 2.09
Ti: 0.0000 0.5000 0.0000  2 H 2.09
Ti: 0.0000 0.0000 0.5000  2 H 2.09
Ti: 0.5000 0.0000 0.0000  2 H 2.09

Computed properties:
- DFT total energy: -7.03 eV per atom

---

A relaxed structure of AgHg2Os. Source: Alexandria via LeMat-Bulk, functional GGA-PBEsol.

Lattice parameters (Å, degrees): 2.8527 5.1404 5.6817 116.90 104.54 90.00
Last column: nearest neighbours and their distance in Å.
Fractional positions:
Ag: 0.0000 0.5000 0.0000  2 Ag 2.85, 4 Hg 2.85, 4 Os 2.94
Hg: 0.7543 0.7543 0.5086  2 Os 2.78, 6 Hg 2.85-2.94, 2 Ag 2.85
Hg: 0.2457 0.2457 0.4914  2 Os 2.78, 6 Hg 2.85-2.94, 2 Ag 2.85
Os: 0.5000 0.0000 0.0000  4 Hg 2.78, 2 Os 2.85, 4 Ag 2.94

Computed properties:
- Excess energy over the best structure of this formula in the dataset: 0 meV per atom
- ΔH_f (0 K): 0.718 eV per atom

---

A relaxed structure of IrCl3. Source: Alexandria via LeMat-Bulk, functional GGA-PBEsol.

Lattice parameters (Å, degrees): 4.5082 4.5082 4.5082 60.00 60.00 60.00
Last column: nearest neighbours and their distance in Å.
Fractional positions:
Ir: 0.0000 0.0000 0.0000  8 Cl 2.76
Cl: 0.2500 0.2500 0.2500  4 Cl 2.76, 4 Ir 2.76
Cl: 0.5000 0.5000 0.5000  8 Cl 2.76
Cl: 0.7500 0.7500 0.7500  4 Cl 2.76, 4 Ir 2.76

Computed properties:
- Uncorrected formation energy: 3.9 eV per formula unit

---

A relaxed structure of RbScPb3. Source: Alexandria via LeMat-Bulk, functional GGA-PBEsol.

Lattice parameters (Å, degrees): 5.7851 5.7851 5.7851 90.00 90.00 90.00
Last column: nearest neighbours and their distance in Å.
Fractional positions:
Pb: 0.0000 0.5000 0.0000  2 Rb 2.89
Pb: 0.0000 0.0000 0.5000  2 Rb 2.89
Pb: 0.5000 0.0000 0.0000  2 Rb 2.89
Sc: 0.5000 0.5000 0.5000  12 Pb 4.09
Rb: 0.0000 0.0000 0.0000  6 Pb 2.89

Computed properties:
- ΔH_f (0 K): 1.229 eV per atom

---

no.,spin magnetization (μB per atom)
1,0.0000
2,0.0001
3,0.0007
4,0.0003
5,0.0045
6,0.0001